# LaV2W

An optimized crystal structure of LaV2W (PBE-GGA, Alexandria).

Summary:
Calculated formation energy = 1071 meV per atom

Unit cell a=4.670 b=4.670 c=17.483 alpha=90.00 beta=90.00 gamma=90.00
Space group I4_1/amd (No. 141, origin choice 2)
One atom of each set of equivalent atoms:
La 0.000 0.250 0.375 (multiplicity 4)
V 0.000 0.000 0.000 (multiplicity 8)
W 0.000 0.250 0.875 (multiplicity 4)